Compound: PmVAgGe
Source: Alexandria via LeMat-Bulk
Functional: PBE-GGA
Structure: optimized geometry

a = 6.926 Å, b = 6.926 Å, c = 6.926 Å
α = 90.00°, β = 90.00°, γ = 90.00°
Fractional positions:
Pm 0.000 0.000 0.000
Pm 0.000 0.500 0.500
Pm 0.500 0.000 0.500
Pm 0.500 0.500 0.000
V 0.000 0.000 0.500
V 0.000 0.500 0.000
V 0.500 0.000 0.000
V 0.500 0.500 0.500
Ag 0.250 0.250 0.750
Ag 0.250 0.750 0.250
Ag 0.750 0.250 0.250
Ag 0.750 0.750 0.750
Ge 0.250 0.250 0.250
Ge 0.250 0.750 0.750
Ge 0.750 0.250 0.750
Ge 0.750 0.750 0.250

Summary:
SG: F-43m
Density of states at the Fermi level (states/eV/cell): 17.03
Final energy (eV per atom): -5.42

=====

Compound: Ac2Zn4Cd3In
Source: Alexandria via LeMat-Bulk
Functional: PBE-GGA
Structure: optimized geometry

a = 4.684 Å, b = 4.684 Å, c = 11.058 Å
α = 90.00°, β = 90.00°, γ = 90.00°
Fractional positions:
Ac 0.000 0.500 0.240
Ac 0.500 0.000 0.760
Zn 0.000 0.000 0.000
Zn 0.000 0.500 0.638
Zn 0.500 0.000 0.362
Zn 0.500 0.500 0.000
Cd 0.000 0.500 0.876
Cd 0.500 0.000 0.124
Cd 0.500 0.500 0.500
In 0.000 0.000 0.500

Summary:
SG: P-4m2
Density of states at the Fermi level (states/eV/cell): 7.63
Final energy (eV per atom): -2.16

=====

Compound: NdCuCl2
Source: Alexandria via LeMat-Bulk
Functional: PBE-GGA
Structure: optimized geometry

a = 3.783 Å, b = 3.783 Å, c = 24.453 Å
α = 90.00°, β = 90.00°, γ = 120.00°
Fractional positions:
Nd 0.000 0.000 0.000
Nd 0.333 0.667 0.667
Nd 0.667 0.333 0.333
Cu 0.000 0.000 0.500
Cu 0.333 0.667 0.167
Cu 0.667 0.333 0.833
Cl 0.000 0.000 0.112
Cl 0.000 0.000 0.888
Cl 0.333 0.667 0.554
Cl 0.333 0.667 0.779
Cl 0.667 0.333 0.221
Cl 0.667 0.333 0.446

Summary:
SG: R-3m
Density of states at the Fermi level (states/eV/cell): 4.73
Final energy (eV per atom): -3.84

=====

Compound: Ba6InAg
Source: Alexandria via LeMat-Bulk
Functional: PBE-GGA
Structure: optimized geometry

a = 6.078 Å, b = 6.078 Å, c = 21.955 Å
α = 90.00°, β = 90.00°, γ = 90.00°
Fractional positions:
Ba 0.000 0.000 0.245
Ba 0.000 0.000 0.755
Ba 0.000 0.500 0.089
Ba 0.000 0.500 0.411
Ba 0.000 0.500 0.589
Ba 0.000 0.500 0.911
Ba 0.500 0.000 0.089
Ba 0.500 0.000 0.411
Ba 0.500 0.000 0.589
Ba 0.500 0.000 0.911
Ba 0.500 0.500 0.255
Ba 0.500 0.500 0.745
In 0.000 0.000 0.000
In 0.500 0.500 0.500
Ag 0.000 0.000 0.500
Ag 0.500 0.500 0.000

Summary:
SG: I4/mmm
Density of states at the Fermi level (states/eV/cell): 17.48
Final energy (eV per atom): -2.30